1.
First-principles (PBE) data for crystalline HoErTePb at its relaxed geometry, as listed in Alexandria via LeMat-Bulk.

total energy	-4.899	eV per atom

The structure in CIF format:
```
data_HoErTePb
_space_group_name_H-M_alt 'P 4 m m'
_space_group_IT_number 99
_cell_length_a 4.385
_cell_length_b 4.385
_cell_length_c 6.185
_cell_angle_alpha 90.00
_cell_angle_beta 90.00
_cell_angle_gamma 90.00
loop_
_space_group_symop_operation_xyz
'x,y,z'
'-y,x,z'
'-x,-y,z'
'y,-x,z'
'-x,y,z'
'y,x,z'
'x,-y,z'
'-y,-x,z'
loop_
_atom_site_label
_atom_site_type_symbol
_atom_site_fract_x
_atom_site_fract_y
_atom_site_fract_z
_atom_site_occupancy
Ho1 Ho 0.000 0.000 0.000 1
Er1 Er 0.500 0.500 0.499 1
Te1 Te 0.000 0.000 0.500 1
Pb1 Pb 0.500 0.500 0.999 1
```

2.
First-principles (PBE) data for crystalline HoErTlPb at its relaxed geometry, as listed in Alexandria via LeMat-Bulk.

offset from the most stable computed form	0.00	kJ/mol of atoms
ΔE_f	-0.3646	eV per atom

The structure in CIF format:
```
data_HoErTlPb
_space_group_name_H-M_alt 'I -4 m 2'
_space_group_IT_number 119
_space_group_name_Hall 'I -4 -2'
_cell_length_a 4.991
_cell_length_b 4.991
_cell_length_c 8.764
_cell_angle_alpha 90.00
_cell_angle_beta 90.00
_cell_angle_gamma 90.00
loop_
_atom_site_label
_atom_site_type_symbol
_atom_site_fract_x
_atom_site_fract_y
_atom_site_fract_z
_atom_site_occupancy
Ho1 Ho 0.000 0.000 0.000 1
Er1 Er 0.000 0.000 0.500 1
Tl1 Tl 0.000 0.500 0.250 1
Pb1 Pb 0.000 0.500 0.750 1
```

3.
First-principles (PBE) data for crystalline HoErTlPb at its relaxed geometry, as listed in Alexandria via LeMat-Bulk.

offset from the most stable computed form	3.59	kJ/mol of atoms
ΔE_f	-0.3274	eV per atom

The structure in CIF format:
```
data_HoErTlPb
_space_group_name_H-M_alt 'F -4 3 m'
_space_group_IT_number 216
_space_group_name_Hall 'F -4 2 3'
_cell_length_a 7.613
_cell_length_b 7.613
_cell_length_c 7.613
_cell_angle_alpha 90.00
_cell_angle_beta 90.00
_cell_angle_gamma 90.00
loop_
_atom_site_label
_atom_site_type_symbol
_atom_site_fract_x
_atom_site_fract_y
_atom_site_fract_z
_atom_site_occupancy
Ho1 Ho 0.000 0.000 0.000 1
Er1 Er 0.000 0.000 0.500 1
Tl1 Tl 0.250 0.250 0.250 1
Pb1 Pb 0.250 0.250 0.750 1
```

4.
First-principles (PBE) data for crystalline Ho2Er6Tm3Pb at its relaxed geometry, as listed in Alexandria via LeMat-Bulk.

ΔE_f	-0.0468	eV per atom

The structure in CIF format:
```
data_Ho2Er6Tm3Pb
_space_group_name_H-M_alt 'C 1 2/m 1'
_space_group_IT_number 12
_cell_length_a 6.026
_cell_length_b 10.445
_cell_length_c 11.562
_cell_angle_alpha 90.00
_cell_angle_beta 100.07
_cell_angle_gamma 90.00
loop_
_space_group_symop_operation_xyz
'x,y,z'
'-x,-y,-z'
'-x,y,-z'
'x,-y,z'
'x+1/2,y+1/2,z'
'-x+1/2,-y+1/2,-z'
'-x+1/2,y+1/2,-z'
'x+1/2,-y+1/2,z'
loop_
_atom_site_label
_atom_site_type_symbol
_atom_site_fract_x
_atom_site_fract_y
_atom_site_fract_z
_atom_site_occupancy
Ho1 Ho 0.000 0.166 0.000 1
Er1 Er 0.247 0.500 0.749 1
Er2 Er 0.248 0.335 0.250 1
Tm1 Tm 0.000 0.000 0.500 1
Tm2 Tm 0.000 0.333 0.500 1
Pb1 Pb 0.000 0.500 0.000 1
```

5.
First-principles (PBE) data for crystalline Ho6Er3Tm2Pb at its relaxed geometry, as listed in Alexandria via LeMat-Bulk.

ΔE_f	-0.0432	eV per atom

The structure in CIF format:
```
data_Ho6Er3Tm2Pb
_space_group_name_H-M_alt 'C 1 2/m 1'
_space_group_IT_number 12
_cell_length_a 6.051
_cell_length_b 10.488
_cell_length_c 11.571
_cell_angle_alpha 90.00
_cell_angle_beta 100.10
_cell_angle_gamma 90.00
loop_
_space_group_symop_operation_xyz
'x,y,z'
'-x,-y,-z'
'-x,y,-z'
'x,-y,z'
'x+1/2,y+1/2,z'
'-x+1/2,-y+1/2,-z'
'-x+1/2,y+1/2,-z'
'x+1/2,-y+1/2,z'
loop_
_atom_site_label
_atom_site_type_symbol
_atom_site_fract_x
_atom_site_fract_y
_atom_site_fract_z
_atom_site_occupancy
Ho1 Ho 0.248 0.000 0.250 1
Ho2 Ho 0.248 0.165 0.748 1
Er1 Er 0.000 0.167 0.000 1
Er2 Er 0.000 0.500 0.000 1
Tm1 Tm 0.000 0.334 0.500 1
Pb1 Pb 0.000 0.000 0.500 1
```

6.
First-principles (PBE) data for crystalline Ho3Er6Tm2Pb at its relaxed geometry, as listed in Alexandria via LeMat-Bulk.

ΔE_f	-0.0426	eV per atom

The structure in CIF format:
```
data_Ho3Er6Tm2Pb
_space_group_name_H-M_alt 'C 1 2/m 1'
_space_group_IT_number 12
_cell_length_a 6.043
_cell_length_b 10.472
_cell_length_c 11.550
_cell_angle_alpha 90.00
_cell_angle_beta 100.12
_cell_angle_gamma 90.00
loop_
_space_group_symop_operation_xyz
'x,y,z'
'-x,-y,-z'
'-x,y,-z'
'x,-y,z'
'x+1/2,y+1/2,z'
'-x+1/2,-y+1/2,-z'
'-x+1/2,y+1/2,-z'
'x+1/2,-y+1/2,z'
loop_
_atom_site_label
_atom_site_type_symbol
_atom_site_fract_x
_atom_site_fract_y
_atom_site_fract_z
_atom_site_occupancy
Ho1 Ho 0.000 0.000 0.000 1
Ho2 Ho 0.000 0.333 0.000 1
Er1 Er 0.247 0.335 0.748 1
Er2 Er 0.249 0.500 0.251 1
Tm1 Tm 0.000 0.166 0.500 1
Pb1 Pb 0.000 0.500 0.500 1
```

7.
First-principles (PBE) data for crystalline Ho6Er2Tm3Pb at its relaxed geometry, as listed in Alexandria via LeMat-Bulk.

ΔE_f	-0.0452	eV per atom

The structure in CIF format:
```
data_Ho6Er2Tm3Pb
_space_group_name_H-M_alt 'C 1 2/m 1'
_space_group_IT_number 12
_cell_length_a 6.041
_cell_length_b 10.469
_cell_length_c 11.574
_cell_angle_alpha 90.00
_cell_angle_beta 100.08
_cell_angle_gamma 90.00
loop_
_space_group_symop_operation_xyz
'x,y,z'
'-x,-y,-z'
'-x,y,-z'
'x,-y,z'
'x+1/2,y+1/2,z'
'-x+1/2,-y+1/2,-z'
'-x+1/2,y+1/2,-z'
'x+1/2,-y+1/2,z'
loop_
_atom_site_label
_atom_site_type_symbol
_atom_site_fract_x
_atom_site_fract_y
_atom_site_fract_z
_atom_site_occupancy
Ho1 Ho 0.248 0.000 0.249 1
Ho2 Ho 0.248 0.165 0.750 1
Er1 Er 0.000 0.334 0.500 1
Tm1 Tm 0.000 0.167 0.000 1
Tm2 Tm 0.000 0.500 0.000 1
Pb1 Pb 0.000 0.000 0.500 1
```

8.
First-principles (PBE) data for crystalline HoErZnPb at its relaxed geometry, as listed in Alexandria via LeMat-Bulk.

ΔE_f	-0.3446	eV per atom

The structure in CIF format:
```
data_HoErZnPb
_space_group_name_H-M_alt 'F -4 3 m'
_space_group_IT_number 216
_space_group_name_Hall 'F -4 2 3'
_cell_length_a 7.368
_cell_length_b 7.368
_cell_length_c 7.368
_cell_angle_alpha 90.00
_cell_angle_beta 90.00
_cell_angle_gamma 90.00
loop_
_atom_site_label
_atom_site_type_symbol
_atom_site_fract_x
_atom_site_fract_y
_atom_site_fract_z
_atom_site_occupancy
Ho1 Ho 0.000 0.000 0.000 1
Er1 Er 0.000 0.000 0.500 1
Zn1 Zn 0.250 0.250 0.250 1
Pb1 Pb 0.250 0.250 0.750 1
```

9.
First-principles (PBE) data for crystalline Ho3Er3Pd4 at its relaxed geometry, as listed in Alexandria via LeMat-Bulk.

ΔE_f	-0.7543	eV per atom

The structure in CIF format:
```
data_Ho3Er3Pd4
_space_group_name_H-M_alt 'A m m 2'
_space_group_IT_number 38
_cell_length_a 3.956
_cell_length_b 10.939
_cell_length_c 10.915
_cell_angle_alpha 90.00
_cell_angle_beta 90.00
_cell_angle_gamma 90.00
loop_
_space_group_symop_operation_xyz
'x,y,z'
'-x,-y,z'
'-x,y,z'
'x,-y,z'
'x,y+1/2,z+1/2'
'-x,-y+1/2,z+1/2'
'-x,y+1/2,z+1/2'
'x,-y+1/2,z+1/2'
loop_
_atom_site_label
_atom_site_type_symbol
_atom_site_fract_x
_atom_site_fract_y
_atom_site_fract_z
_atom_site_occupancy
Ho1 Ho 0.000 0.000 0.000 1
Ho2 Ho 0.000 0.165 0.664 1
Er1 Er 0.000 0.000 0.329 1
Er2 Er 0.500 0.250 0.414 1
Pd1 Pd 0.500 0.000 0.529 1
Pd2 Pd 0.500 0.000 0.798 1
Pd3 Pd 0.500 0.134 0.165 1
```

10.
First-principles (PBE) data for crystalline HoErPd2 at its relaxed geometry, as listed in Alexandria via LeMat-Bulk.

offset from the most stable computed form	0.00	kJ/mol of atoms
ΔE_f	-0.9371	eV per atom

The structure in CIF format:
```
data_HoErPd2
_space_group_name_H-M_alt 'A m m 2'
_space_group_IT_number 38
_cell_length_a 4.508
_cell_length_b 3.726
_cell_length_c 10.506
_cell_angle_alpha 90.00
_cell_angle_beta 90.00
_cell_angle_gamma 90.00
loop_
_space_group_symop_operation_xyz
'x,y,z'
'-x,-y,z'
'-x,y,z'
'x,-y,z'
'x,y+1/2,z+1/2'
'-x,-y+1/2,z+1/2'
'-x,y+1/2,z+1/2'
'x,-y+1/2,z+1/2'
loop_
_atom_site_label
_atom_site_type_symbol
_atom_site_fract_x
_atom_site_fract_y
_atom_site_fract_z
_atom_site_occupancy
Ho1 Ho 0.000 0.000 0.000 1
Er1 Er 0.500 0.000 0.276 1
Pd1 Pd 0.000 0.000 0.725 1
Pd2 Pd 0.500 0.000 0.551 1
```

11.
First-principles (PBE) data for crystalline HoEr3Pd4 at its relaxed geometry, as listed in Alexandria via LeMat-Bulk.

ΔE_f	-0.9209	eV per atom

The structure in CIF format:
```
data_HoEr3Pd4
_space_group_name_H-M_alt 'P 4/m m m'
_space_group_IT_number 123
_space_group_name_Hall '-P 4 2'
_cell_length_a 4.966
_cell_length_b 4.966
_cell_length_c 6.830
_cell_angle_alpha 90.00
_cell_angle_beta 90.00
_cell_angle_gamma 90.00
loop_
_atom_site_label
_atom_site_type_symbol
_atom_site_fract_x
_atom_site_fract_y
_atom_site_fract_z
_atom_site_occupancy
Ho1 Ho 0.000 0.000 0.000 1
Er1 Er 0.000 0.000 0.500 1
Er2 Er 0.500 0.500 0.000 1
Er3 Er 0.500 0.500 0.500 1
Pd1 Pd 0.000 0.500 0.251 1
```

12.
First-principles (PBE) data for crystalline Ho3Er2Pd2 at its relaxed geometry, as listed in Alexandria via LeMat-Bulk.

offset from the most stable computed form	12.13	kJ/mol of atoms
ΔE_f	-0.4087	eV per atom

The structure in CIF format:
```
data_Ho3Er2Pd2
_space_group_name_H-M_alt 'C 1 2/m 1'
_space_group_IT_number 12
_cell_length_a 12.562
_cell_length_b 3.688
_cell_length_c 10.068
_cell_angle_alpha 90.00
_cell_angle_beta 126.62
_cell_angle_gamma 90.00
loop_
_space_group_symop_operation_xyz
'x,y,z'
'-x,-y,-z'
'-x,y,-z'
'x,-y,z'
'x+1/2,y+1/2,z'
'-x+1/2,-y+1/2,-z'
'-x+1/2,y+1/2,-z'
'x+1/2,-y+1/2,z'
loop_
_atom_site_label
_atom_site_type_symbol
_atom_site_fract_x
_atom_site_fract_y
_atom_site_fract_z
_atom_site_occupancy
Ho1 Ho 0.000 0.000 0.000 1
Ho2 Ho 0.155 0.000 0.709 1
Er1 Er 0.112 0.500 0.374 1
Pd1 Pd 0.140 0.500 0.927 1
```

no.,calculated volume (Å³ per cell)
1,119
2,218
3,441
4,716
5,723
6,720
7,721
8,400
9,472
10,176
11,168
12,374